PmTaCr2O6, relaxed, DFT GGA+U; total DFT energy (no corrections) = -0.308 hartree per atom; space-group type = P1; total magnetization = 4.00 μB/f.u.
1.0
-0.5369 4.3989 3.0868
-4.8228 2.4952 0.3760
-2.9264 -0.5142 4.9461
Pm O Cr Ta
1 6 2 1
direct
0.8078 0.8059 0.5827
0.1519 0.3743 0.7581
0.7163 0.1520 0.7586
0.3738 0.7170 0.7618
0.5915 0.2450 0.2268
0.9326 0.5871 0.2293
0.2483 0.9358 0.2257
0.0091 0.0092 0.9724
0.5143 0.5156 0.4545
0.3160 0.3197 0.0453